DFT (PBE) results for an optimized crystal structure of Ce5AlRu4.

a = 4.3231 Å, b = 6.8017 Å, c = 8.9518 Å
α = 120.51°, β = 103.97°, γ = 90.00°
With the nearest neighbours (Å) after each atom.
Element x y z (fractional)
Ce  0.1710  0.7842  0.3419  2 Ru 2.50-2.65
Ce  0.1594  0.3253  0.3187  4 Ru 2.83-2.98, 1 Ce 3.02
Ce  0.8290  0.2158  0.6581  2 Ru 2.50-2.65
Ru  0.0256  0.8182  0.0513  2 Al 2.64, 4 Ce 2.65-2.92
Ru  0.9744  0.1818  0.9487  2 Al 2.64, 4 Ce 2.65-2.92
Ru  0.6633  0.0623  0.3266  1 Ce 2.50, 1 Al 2.64
Ce  0.5000  0.5000  0.0000  4 Ru 2.92
Ru  0.3367  0.9377  0.6734  1 Ce 2.50, 1 Al 2.64
Ce  0.8406  0.6747  0.6813  4 Ru 2.83-2.98, 1 Ce 3.02
Al  0.5000  0.0000  0.0000  6 Ru 2.64

Results
The calculation puts the density of states at the Fermi level at 16.45 states/eV/cell. The value obtained for the magnetic moment is 0.14 μB/f.u. The formation enthalpy at 0 K is -317 kJ/mol of formula units. For the density, the calculation gives 8.63 g cm⁻³.